TaRePt2, optimized geometry, DFT PBE; energy above the most stable polymorph in this dataset = 0.153 eV per atom; E_tot = -9.39 eV per atom; energy of formation from the pure elements = -0.29 eV per atom; spin magnetization = 0.000 μB per cell
1.0
2.765 0.000 0.000
0.000 2.765 0.000
0.000 0.000 8.247
Ta Re Pt
1 1 2
direct
0.000 0.000 0.000
0.000 0.000 0.500
0.500 0.500 0.256
0.500 0.500 0.744